Record 1
# TlFeAs2

A relaxed TlFeAs2 crystal (PBE-GGA, the Alexandria database).

Cell: 3.9935 3.9935 5.0244 Å, 90.00 90.00 90.00°
Sites, in units of the cell vectors:
Tl 0.0000 0.0000 0.0000
Fe 0.5000 0.5000 0.0000
As 0.0000 0.5000 0.5000
As 0.5000 0.0000 0.5000

relative energy among the computed polymorphs: 549 meV per atom
formation energy from the elements: 584 meV/atom
SG: P4/mmm



Record 2
# TbHgSb

A relaxed TbHgSb crystal (PBE-GGA, the Alexandria database).

Cell: 9.6219 9.6219 9.6219 Å, 156.56 148.85 39.35°
Sites, in units of the cell vectors:
Tb 0.1718 0.1718 0.0000
Tb 0.8282 0.8282 0.0000
Hg 0.2522 0.0000 0.2522
Hg 0.7478 0.0000 0.7478
Sb 0.3412 0.3412 0.0000
Sb 0.6588 0.6588 0.0000

relative energy among the computed polymorphs: 157 meV per atom
SG: Immm



Record 3
# Pu6BiPb2

A relaxed Pu6BiPb2 crystal (PBE-GGA, the Alexandria database).

Cell: 9.0770 9.0770 3.4382 Å, 90.00 90.00 120.00°
Sites, in units of the cell vectors:
Pu 0.0000 0.3331 0.0000
Pu 0.0000 0.6669 0.0000
Pu 0.3331 0.0000 0.0000
Pu 0.3331 0.3331 0.0000
Pu 0.6669 0.0000 0.0000
Pu 0.6669 0.6669 0.0000
Bi 0.0000 0.0000 0.5000
Pb 0.3333 0.6667 0.5000
Pb 0.6667 0.3333 0.5000

formation energy from the elements: -23 meV/atom
SG: P6/mmm



Record 4
# H3OsCl

A relaxed H3OsCl crystal (PBE-GGA, the Alexandria database).

Cell: 3.6379 3.6379 3.6379 Å, 90.00 90.00 90.00°
Sites, in units of the cell vectors:
H 0.0000 0.0000 0.5000
H 0.0000 0.5000 0.0000
H 0.5000 0.0000 0.0000
Os 0.0000 0.0000 0.0000
Cl 0.5000 0.5000 0.5000

relative energy among the computed polymorphs: 0 meV per atom
SG: Pm-3m



Record 5
# KBiN2F

A relaxed KBiN2F crystal (PBE-GGA, the Alexandria database).

Cell: 4.3863 4.3863 4.7751 Å, 90.00 90.00 90.00°
Sites, in units of the cell vectors:
K 0.0000 0.0000 0.0000
Bi 0.5000 0.5000 0.5000
N 0.0000 0.5000 0.5000
N 0.5000 0.0000 0.5000
F 0.5000 0.5000 0.0000

relative energy among the computed polymorphs: 0 meV per atom
SG: P4/mmm



Record 6
# Er2ZrZn2Rh5

A relaxed Er2ZrZn2Rh5 crystal (PBE-GGA, the Alexandria database).

Cell: 9.7958 9.7958 3.5975 Å, 90.00 90.00 90.00°
Sites, in units of the cell vectors:
Er 0.1716 0.3284 0.0000
Er 0.3284 0.8284 0.0000
Er 0.6716 0.1716 0.0000
Er 0.8284 0.6716 0.0000
Zr 0.0000 0.0000 0.0000
Zr 0.5000 0.5000 0.0000
Zn 0.1244 0.6244 0.0000
Zn 0.3756 0.1244 0.0000
Zn 0.6244 0.8756 0.0000
Zn 0.8756 0.3756 0.0000
Rh 0.0000 0.5000 0.5000
Rh 0.0704 0.7964 0.5000
Rh 0.2036 0.0704 0.5000
Rh 0.2964 0.5704 0.5000
Rh 0.4296 0.2964 0.5000
Rh 0.5000 0.0000 0.5000
Rh 0.5704 0.7036 0.5000
Rh 0.7036 0.4296 0.5000
Rh 0.7964 0.9296 0.5000
Rh 0.9296 0.2036 0.5000

formation energy from the elements: -723 meV/atom
SG: P4/mbm



Record 7
# Ce8Ge3Sb2

A relaxed Ce8Ge3Sb2 crystal (PBE-GGA, the Alexandria database).

Cell: 8.5239 8.5239 6.4143 Å, 92.97 92.97 52.21°
Sites, in units of the cell vectors:
Ce 0.0771 0.0771 0.4125
Ce 0.0797 0.7041 0.1178
Ce 0.2959 0.9203 0.8822
Ce 0.3342 0.3342 0.6848
Ce 0.6658 0.6658 0.3152
Ce 0.7041 0.0797 0.1178
Ce 0.9203 0.2959 0.8822
Ce 0.9229 0.9229 0.5875
Ge 0.3380 0.6620 0.5000
Ge 0.5000 0.5000 0.0000
Ge 0.6620 0.3380 0.5000
Sb 0.2546 0.2546 0.1950
Sb 0.7454 0.7454 0.8050

total DFT energy (no corrections): -5.79 eV/atom
SG: C2/m



Record 8
# Sm2Ga4Ni5

A relaxed Sm2Ga4Ni5 crystal (PBE-GGA, the Alexandria database).

Cell: 8.6850 7.8428 5.3163 Å, 80.10 62.82 37.09°
Sites, in units of the cell vectors:
Sm 0.1341 0.1341 0.8659
Sm 0.8659 0.8659 0.1341
Ga 0.2123 0.5312 0.4688
Ga 0.4688 0.7877 0.2123
Ga 0.5312 0.2123 0.7877
Ga 0.7877 0.4688 0.5312
Ni 0.0000 0.0000 0.5000
Ni 0.2500 0.2500 0.2500
Ni 0.5000 0.5000 0.0000
Ni 0.5000 0.5000 0.5000
Ni 0.7500 0.7500 0.7500

formation energy from the elements: -499 meV/atom
SG: Fmmm